No. 1
## Pr4Nd3Er4 (PBE)

Data for Pr4Nd3Er4 after structural relaxation.

Summary:
**Calculated volume**: 34.51 Å³ per atom
**Calculated formation energy**: 0.1515 eV/atom

Unit cell a=5.7728 b=6.7131 c=10.8484 alpha=90.00 beta=90.00 gamma=115.47
With the nearest neighbours (Å) after each atom.
Element x y z (fractional)
Er 0.1056 0.2111 0.3052  4 Pr 3.44-3.75, 2 Er 3.58, 4 Nd 3.72-3.76
Nd 0.2527 0.5053 0.0000  7 Pr 3.55-3.82, 5 Er 3.67-3.76, 2 Nd 3.68
Er 0.6086 0.2172 0.5000  2 Nd 3.31, 3 Pr 3.31-3.57, 4 Er 3.58
Er 0.5557 0.1114 0.0000  4 Pr 3.11-3.31
Pr 0.8819 0.7638 0.5000  3 Er 3.31-3.44, 2 Pr 3.49, 4 Nd 3.70
Nd 0.4121 0.8243 0.7113  2 Er 3.31-3.58, 2 Pr 3.57, 1 Nd 3.68
Pr 0.7523 0.5046 0.2122  4 Er 3.31-3.57, 2 Pr 3.41-3.49, 4 Nd 3.57-3.69
Nd 0.4121 0.8243 0.2887  2 Er 3.31-3.58, 2 Pr 3.57, 1 Nd 3.68
Pr 0.7523 0.5046 0.7878  4 Er 3.31-3.57, 2 Pr 3.41-3.49, 4 Nd 3.57-3.69
Er 0.1056 0.2111 0.6948  4 Pr 3.44-3.75, 2 Er 3.58, 4 Nd 3.72-3.76
Pr 0.9596 0.9192 0.0000  2 Er 3.11, 2 Pr 3.41


No. 2
## Pr3Nd2Er8 (PBE)

Data for Pr3Nd2Er8 after structural relaxation.

Summary:
**Calculated volume**: 32.44 Å³ per atom
**Calculated formation energy**: 0.0228 eV/atom

Unit cell a=6.2166 b=6.1956 c=11.3069 alpha=79.32 beta=90.21 gamma=99.67
With the nearest neighbours (Å) after each atom.
Element x y z (fractional)
Pr 0.5379 0.2307 0.0788  8 Er 3.56-3.62, 4 Pr 3.58-3.61
Er 0.8469 0.0765 0.6907  7 Er 3.55-3.59, 3 Nd 3.57, 2 Pr 3.58-3.59
Er 0.9249 0.5367 0.8436  1 Nd 3.55, 6 Er 3.56-3.62, 5 Pr 3.57-3.62
Nd 0.2310 0.3844 0.4619  10 Er 3.54-3.59, 2 Nd 3.58-3.59
Er 0.0751 0.4633 0.1564  1 Nd 3.55, 6 Er 3.56-3.62, 5 Pr 3.57-3.62
Er 0.6143 0.6920 0.2333  2 Nd 3.54-3.56, 6 Er 3.56-3.59, 4 Pr 3.58-3.62
Er 0.6927 0.1528 0.3853  7 Er 3.55-3.58, 4 Nd 3.56-3.59, 1 Pr 3.56
Er 0.1531 0.9235 0.3093  7 Er 3.55-3.59, 3 Nd 3.57, 2 Pr 3.58-3.59
Nd 0.7690 0.6156 0.5381  10 Er 3.54-3.59, 2 Nd 3.58-3.59
Pr 0.0000 0.0000 0.0000  8 Er 3.57-3.61, 4 Pr 3.59-3.60
Er 0.3857 0.3080 0.7667  2 Nd 3.54-3.56, 6 Er 3.56-3.59, 4 Pr 3.58-3.62
Pr 0.4621 0.7693 0.9212  8 Er 3.56-3.62, 4 Pr 3.58-3.61
Er 0.3073 0.8472 0.6147  7 Er 3.55-3.58, 4 Nd 3.56-3.59, 1 Pr 3.56


No. 3
## PrNd7Er4 (PBE)

Data for PrNd7Er4 after structural relaxation.

Summary:
**Calculated volume**: 34.43 Å³ per atom
**Calculated formation energy**: 0.2021 eV/atom

Unit cell a=6.0301 b=9.7365 c=8.6298 alpha=62.17 beta=69.55 gamma=71.96
With the nearest neighbours (Å) after each atom.
Element x y z (fractional)
Nd 0.5000 0.0000 0.0000  2 Pr 3.02, 2 Er 3.35
Er 0.4311 0.6992 0.4386  2 Nd 3.26-3.52, 2 Er 3.41-3.56
Nd 0.7842 0.8878 0.5438  6 Nd 3.41-3.66, 3 Er 3.75-3.76
Nd 0.2158 0.1122 0.4562  6 Nd 3.41-3.66, 3 Er 3.75-3.76
Er 0.3324 0.3747 0.9606  7 Nd 3.21-3.51, 1 Er 3.56
Nd 0.2173 0.7529 0.8125  4 Er 3.21-3.48, 1 Pr 3.21, 2 Nd 3.41-3.48
Er 0.5689 0.3008 0.5614  2 Nd 3.26-3.52, 2 Er 3.41-3.56
Er 0.6676 0.6253 0.0394  7 Nd 3.21-3.51, 1 Er 3.56
Nd 0.0883 0.5436 0.2797  3 Nd 3.32-3.66, 3 Er 3.50-3.51
Nd 0.9117 0.4564 0.7203  3 Nd 3.32-3.66, 3 Er 3.50-3.51
Nd 0.7827 0.2471 0.1875  4 Er 3.21-3.48, 1 Pr 3.21, 2 Nd 3.41-3.48
Pr 0.0000 0.0000 0.0000  4 Nd 3.02-3.21


No. 4
## PrNd9Er2 (PBE)

Data for PrNd9Er2 after structural relaxation.

Summary:
**Calculated volume**: 34.48 Å³ per atom
**Calculated formation energy**: 0.0163 eV/atom

Unit cell a=5.1661 b=5.1661 c=15.5032 alpha=90.00 beta=90.00 gamma=90.00
With the nearest neighbours (Å) after each atom.
Element x y z (fractional)
Pr 0.0000 0.0000 0.0000  12 Nd 3.65-3.69
Nd 0.5000 0.0000 0.1696  2 Er 3.64, 8 Nd 3.65-3.69, 2 Pr 3.69
Er 0.0000 0.0000 0.3349  12 Nd 3.64-3.65
Nd 0.5000 0.5000 0.3357  8 Nd 3.63-3.65, 4 Er 3.65
Nd 0.5000 0.5000 0.6643  8 Nd 3.63-3.65, 4 Er 3.65
Er 0.0000 0.0000 0.6651  12 Nd 3.64-3.65
Nd 0.0000 0.5000 0.8304  2 Er 3.64, 8 Nd 3.65-3.69, 2 Pr 3.69
Nd 0.0000 0.5000 0.5000  8 Nd 3.63-3.65, 4 Er 3.64
Nd 0.0000 0.5000 0.1696  2 Er 3.64, 8 Nd 3.65-3.69, 2 Pr 3.69
Nd 0.5000 0.0000 0.5000  8 Nd 3.63-3.65, 4 Er 3.64
Nd 0.5000 0.0000 0.8304  2 Er 3.64, 8 Nd 3.65-3.69, 2 Pr 3.69
Nd 0.5000 0.5000 0.0000  4 Pr 3.65, 8 Nd 3.69


No. 5
## Pr8Nd2Er (PBE)

Data for Pr8Nd2Er after structural relaxation.

Summary:
**Calculated volume**: 35.98 Å³ per atom
**Calculated formation energy**: 0.1361 eV/atom

Unit cell a=6.0627 b=9.2614 c=9.5955 alpha=61.15 beta=74.77 gamma=57.02
With the nearest neighbours (Å) after each atom.
Element x y z (fractional)
Pr 0.7029 0.5809 0.0000  3 Pr 3.06-3.31, 1 Er 3.37
Pr 0.8227 0.0984 0.2320  3 Pr 3.31-3.63, 2 Nd 3.59-3.64
Nd 0.0000 0.6918 0.6164  8 Pr 3.49-3.64
Nd 0.0000 0.3082 0.3836  8 Pr 3.49-3.64
Pr 0.8227 0.3303 0.7680  3 Pr 3.31-3.63, 2 Nd 3.59-3.64
Pr 0.1773 0.9016 0.7680  3 Pr 3.31-3.63, 2 Nd 3.59-3.64
Er 0.5000 0.0000 0.0000  4 Pr 3.37-3.45
Pr 0.5000 0.2052 0.5897  1 Er 3.45, 2 Nd 3.49, 6 Pr 3.76-3.77
Pr 0.2971 0.4191 0.0000  3 Pr 3.06-3.31, 1 Er 3.37
Pr 0.5000 0.7948 0.4103  1 Er 3.45, 2 Nd 3.49, 6 Pr 3.76-3.77
Pr 0.1773 0.6697 0.2320  3 Pr 3.31-3.63, 2 Nd 3.59-3.64


No. 6
## Pr3NdEr (PBE)

Data for Pr3NdEr after structural relaxation.

Summary:
**Calculated volume**: 36.49 Å³ per atom
**Calculated formation energy**: 0.3248 eV/atom

Unit cell a=8.2131 b=8.2131 c=6.2522 alpha=90.00 beta=90.00 gamma=59.92
With the nearest neighbours (Å) after each atom.
Element x y z (fractional)
Pr 0.1995 0.5976 0.2500  1 Nd 3.26, 3 Pr 3.26-3.27
Nd 0.2006 0.2006 0.2500  4 Pr 3.25-3.26, 2 Er 3.64
Er 0.3316 0.3316 0.7500  2 Nd 3.64, 4 Pr 3.65
Er 0.6684 0.6684 0.2500  2 Nd 3.64, 4 Pr 3.65
Nd 0.7994 0.7994 0.7500  4 Pr 3.25-3.26, 2 Er 3.64
Pr 0.0000 0.0000 0.0000  6 Pr 3.13-3.26, 2 Nd 3.25
Pr 0.0000 0.0000 0.5000  6 Pr 3.13-3.26, 2 Nd 3.25
Pr 0.8005 0.4024 0.7500  1 Nd 3.26, 3 Pr 3.26-3.27
Pr 0.5976 0.1995 0.2500  1 Nd 3.26, 3 Pr 3.26-3.27
Pr 0.4024 0.8005 0.7500  1 Nd 3.26, 3 Pr 3.26-3.27


No. 7
## PrNd3Er6 (PBE)

Data for PrNd3Er6 after structural relaxation.

Summary:
**Calculated volume**: 33.57 Å³ per atom
**Calculated formation energy**: 0.2166 eV/atom

Unit cell a=6.8935 b=9.8782 c=9.8782 alpha=93.42 beta=90.00 gamma=90.00
With the nearest neighbours (Å) after each atom.
Element x y z (fractional)
Er 0.8113 0.4750 0.0526  5 Er 3.42-3.66, 2 Nd 3.45-3.64
Nd 0.4869 0.8301 0.7565  5 Er 3.26-3.47, 2 Nd 3.61
Er 0.3113 0.0526 0.4750  5 Er 3.42-3.66, 2 Nd 3.45-3.64
Pr 0.0217 0.1916 0.8084  4 Er 3.22-3.52, 1 Nd 3.24
Er 0.3113 0.5250 0.9474  5 Er 3.42-3.66, 2 Nd 3.45-3.64
Er 0.6992 0.2801 0.4883  4 Er 3.14-3.49, 3 Nd 3.26-3.47
Nd 0.2072 0.3988 0.6012  1 Pr 3.24, 3 Er 3.34-3.41
Nd 0.7072 0.6012 0.3988  1 Pr 3.24, 3 Er 3.34-3.41
Er 0.1992 0.7199 0.5117  4 Er 3.14-3.49, 3 Nd 3.26-3.47
Nd 0.4869 0.2435 0.1699  5 Er 3.26-3.47, 2 Nd 3.61
Er 0.8113 0.9474 0.5250  5 Er 3.42-3.66, 2 Nd 3.45-3.64
Nd 0.9869 0.7565 0.8301  5 Er 3.26-3.47, 2 Nd 3.61
Er 0.0132 0.7879 0.2121  6 Er 3.32-3.68, 2 Pr 3.40-3.52, 1 Nd 3.41
Er 0.5132 0.2121 0.7879  6 Er 3.32-3.68, 2 Pr 3.40-3.52, 1 Nd 3.41
Nd 0.9869 0.1699 0.2435  5 Er 3.26-3.47, 2 Nd 3.61
Er 0.2483 0.9896 0.0104  2 Pr 3.22-3.30, 4 Nd 3.32-3.35, 3 Er 3.32-3.46
Er 0.7483 0.0104 0.9896  2 Pr 3.22-3.30, 4 Nd 3.32-3.35, 3 Er 3.32-3.46
Pr 0.5217 0.8084 0.1916  4 Er 3.22-3.52, 1 Nd 3.24
Er 0.1992 0.4883 0.2801  4 Er 3.14-3.49, 3 Nd 3.26-3.47
Er 0.6992 0.5117 0.7199  4 Er 3.14-3.49, 3 Nd 3.26-3.47


No. 8
## PrNdEr2 (PBE)

Data for PrNdEr2 after structural relaxation.

Summary:
**Calculated volume**: 33.35 Å³ per atom
**Calculated formation energy**: 0.1003 eV/atom

Unit cell a=5.7353 b=5.7353 c=5.7353 alpha=60.00 beta=60.00 gamma=60.00
With the nearest neighbours (Å) after each atom.
Element x y z (fractional)
Er 0.7500 0.7500 0.7500  4 Nd 3.51, 4 Pr 3.51
Pr 0.0000 0.0000 0.0000  8 Er 3.51
Er 0.2500 0.2500 0.2500  4 Nd 3.51, 4 Pr 3.51
Nd 0.5000 0.5000 0.5000  8 Er 3.51


Looking at size of the total moment for the records above, in order, we have 0.000 0.000 0.143 0.000 0.000 0.000 0.000 0.002 μB per formula unit.